A plane-wave DFT calculation with PBEsol was carried out for a relaxed NiAsP crystal.

total moment = 0.0 μB/f.u.
uncorrected energy = -5.83 eV per atom
N(E_F) = 2.86 states/eV/cell

Cell: 5.633 5.633 5.633 Å, 90.00 90.00 90.00°
Space group F-43m (No. 216)
One atom of each set of equivalent atoms:
Ni1 0.000 0.000 0.000
As1 0.250 0.250 0.250
P1 0.250 0.250 0.750



A plane-wave DFT calculation with PBEsol was carried out for a relaxed Ni2AsP crystal.

total moment = 0.0 μB/f.u.
N(E_F) = 2.21 states/eV/cell
energy relative to the lowest polymorph listed for this composition = 0.311 eV/f.u.

Cell: 4.046 4.046 3.028 Å, 90.00 90.00 90.00°
Space group P4/mmm (No. 123)
One atom of each set of equivalent atoms:
Ni1 0.000 0.500 0.000
As1 0.000 0.000 0.500
P1 0.500 0.500 0.500



A plane-wave DFT calculation with PBEsol was carried out for a relaxed NiAsPb2 crystal.

total moment = 0.0 μB/f.u.
uncorrected energy = -4.41 eV per atom
N(E_F) = 5.55 states/eV/cell

Cell: 4.279 4.279 9.459 Å, 90.00 90.00 90.00°
Space group I-4m2 (No. 119)
One atom of each set of equivalent atoms:
Ni1 0.000 0.000 0.000
As1 0.000 0.500 0.750
Pb1 0.000 0.000 0.500
Pb2 0.000 0.500 0.250



A plane-wave DFT calculation with PBEsol was carried out for a relaxed NiAsPb2 crystal.

total moment = 0.0 μB/f.u.
uncorrected energy = -4.33 eV per atom
N(E_F) = 15.82 states/eV/cell

Cell: 7.018 7.018 7.018 Å, 90.00 90.00 90.00°
Space group F-43m (No. 216)
One atom of each set of equivalent atoms:
Ni1 0.000 0.000 0.000
As1 0.250 0.250 0.250
Pb1 0.000 0.000 0.500
Pb2 0.250 0.250 0.750